First-principles (GGA-PBE) data for crystalline TlVCdBr6 at its relaxed geometry, as listed in Alexandria via LeMat-Bulk.

abc: 7.0299 7.0299 7.1718
angles: 90.00 90.00 120.00
Space group P312 (No. 149)
Asymmetric unit:
1 Tl 0.0000 0.0000 0.0000
2 V 0.3333 0.6667 0.5000
3 Cd 0.6667 0.3333 0.5000
4 Br 0.0265 0.3857 0.7104

Fermi-level density of states (states/eV/atom): 0.994
Energy (eV per cell): -30.00
Raw formation energy (eV/atom): -0.840

First-principles (GGA-PBE) data for crystalline TlVCdBr2 at its relaxed geometry, as listed in Alexandria via LeMat-Bulk.

abc: 5.547 5.547 5.778
angles: 90.00 90.00 90.00
Space group P4/mmm (No. 123)
Asymmetric unit:
1 Tl 0.000 0.000 0.000
2 V 0.500 0.500 0.000
3 Cd 0.000 0.000 0.500
4 Br 0.000 0.500 0.500

Fermi-level density of states (states/eV/atom): 2.081
Energy (eV per cell): -12.94
Raw formation energy (eV/atom): 0.561

First-principles (GGA-PBE) data for crystalline YTl2CdBr at its relaxed geometry, as listed in Alexandria via LeMat-Bulk.

abc: 5.869 5.869 5.336
angles: 90.00 90.00 90.00
Space group P4/mmm (No. 123)
Asymmetric unit:
1 Y 0.000 0.000 0.000
2 Tl 0.000 0.500 0.500
3 Cd 0.500 0.500 0.000
4 Br 0.500 0.500 0.500

Fermi-level density of states (states/eV/atom): 1.052
Energy (eV per cell): -12.21
Raw formation energy (eV/atom): 0.315

The lowest energy belongs to which entry? TlVCdBr6

Fermi-level density of states of number 1 (TlVCdBr6)? 0.994 states/eV/atom

Which formula does entry 1 have? TlVCdBr6

Which of these has the lowest raw formation energy? TlVCdBr6